No. 1
The following is a DFT calculation (GGA-PBE) of LaTm3Ga4 after structural relaxation.

a = 10.1609 Å, b = 7.1805 Å, c = 5.0801 Å
α = 90.00°, β = 90.00°, γ = 90.00°
Last column: nearest neighbours and their distance in Å.
Fractional positions:
La1 0.0000 0.0000 0.0000  8 Ga 3.18
La2 0.5000 0.0000 0.0000  8 Ga 3.18
Tm1 0.0000 0.5000 0.0000  8 Ga 3.05
Tm2 0.2500 0.0000 0.4984  8 Ga 3.17-3.18
Tm3 0.2500 0.5000 0.4978  8 Ga 3.05
Tm4 0.5000 0.5000 0.0000  8 Ga 3.05
Tm5 0.7500 0.0000 0.5016  8 Ga 3.17-3.18
Tm6 0.7500 0.5000 0.5022  8 Ga 3.05
Ga1 0.0000 0.2656 0.5000  6 Tm 3.05-3.18, 2 La 3.18, 1 Ga 3.37
Ga2 0.0000 0.7344 0.5000  6 Tm 3.05-3.18, 2 La 3.18, 1 Ga 3.37
Ga3 0.2500 0.2656 0.9974  6 Tm 3.05-3.18, 2 La 3.18, 1 Ga 3.37
Ga4 0.2500 0.7344 0.9974  6 Tm 3.05-3.18, 2 La 3.18, 1 Ga 3.37
Ga5 0.5000 0.2656 0.5000  6 Tm 3.05-3.18, 2 La 3.18, 1 Ga 3.37
Ga6 0.5000 0.7344 0.5000  6 Tm 3.05-3.18, 2 La 3.18, 1 Ga 3.37
Ga7 0.7500 0.2656 0.0026  6 Tm 3.05-3.18, 2 La 3.18, 1 Ga 3.37
Ga8 0.7500 0.7344 0.0026  6 Tm 3.05-3.18, 2 La 3.18, 1 Ga 3.37

Results
- Energy of formation from the pure elements: -557 meV/atom

---

No. 2
The following is a DFT calculation (GGA-PBE) of Hf2BeCuP after structural relaxation.

a = 4.6963 Å, b = 4.6963 Å, c = 3.7018 Å
α = 90.00°, β = 90.00°, γ = 90.00°
Last column: nearest neighbours and their distance in Å.
Fractional positions:
Hf1 0.0000 0.5000 0.0000  2 Be 2.35
Hf2 0.5000 0.0000 0.0000  2 Be 2.35
Be1 0.0000 0.0000 0.0000  2 P 1.85
Cu1 0.5000 0.5000 0.5000  8 Hf 2.99, 4 P 3.32
P1 0.0000 0.0000 0.5000  2 Be 1.85

Results
- Energy of formation from the pure elements: 183 meV/atom

---

| no. | electronic total energy (eV per cell) |
| --- | --- |
| 1 | -69.81 |
| 2 | -32.22 |